This record from Alexandria describes an optimized crystal structure of ReMoRu2. The functional is PBEsol.

Lattice parameters (Å, degrees): 3.8424 3.8424 3.8247 90.00 90.00 90.00
Element x y z (fractional)
Re  0.0000  0.0000  0.0000
Mo  0.5000  0.5000  0.0000
Ru  0.0000  0.5000  0.5000
Ru  0.5000  0.0000  0.5000

Fermi-level density of states: 4.1 states/eV/f.u.
calculated formation energy: 28 meV per atom
DFT total energy: -45.33 eV/f.u.
distance to the lowest polymorph of the same formula: 0.000 eV/atom